1.
{"formula": "TiSb2IF", "functional": "PBE", "state": "optimized geometry", "cell": [[4.6406, 0.0000, 0.0000], [0.0000, 4.6406, 0.0000], [0.0000, 0.0000, 5.7222]], "species": ["F", "Sb", "Sb", "Ti", "I"], "frac_coords": [[0.0000, 0.0000, 0.0000], [0.5000, 0.0000, 0.0000], [0.0000, 0.5000, 0.0000], [0.5000, 0.5000, 0.5000], [0.0000, 0.0000, 0.5000]], "m_tot_mub_per_cell": 0.01, "crystal_system": "tetragonal", "dos_ef_per_ev_atom": 1.425, "de_polymorph_mev_per_atom": 255.4}

=====

2.
{"formula": "TiSb2IF", "functional": "PBE", "state": "optimized geometry", "cell": [[-5.1852, 0.7557, 0.0562], [-0.7521, -5.1797, 0.2558], [0.0934, 0.2477, 5.2901]], "species": ["Sb", "Sb", "I", "Ti", "F"], "frac_coords": [[0.5000, 0.0000, 0.0000], [0.0000, 0.5000, 0.0000], [0.0000, 0.0000, 0.5000], [0.0000, 0.0000, 0.0000], [0.5000, 0.5000, 0.5000]], "m_tot_mub_per_cell": 0.00, "crystal_system": "tetragonal", "dos_ef_per_ev_atom": 0.866, "de_polymorph_mev_per_atom": 0.0}

=====

3.
{"formula": "TlSbI2F", "functional": "PBE", "state": "optimized geometry", "cell": [[6.3602, 0.0000, 0.0000], [0.0000, 6.3602, 0.0000], [0.0000, 0.0000, 4.4403]], "species": ["Sb", "Tl", "I", "I", "F"], "frac_coords": [[0.0000, 0.0000, 0.0000], [0.5000, 0.5000, 0.5000], [0.0000, 0.5000, 0.0000], [0.5000, 0.0000, 0.0000], [0.0000, 0.0000, 0.5000]], "m_tot_mub_per_cell": 0.48, "crystal_system": "tetragonal", "dos_ef_per_ev_atom": 0.588, "de_polymorph_mev_per_atom": 0.0}

=====

4.
{"formula": "TlSb2IF", "functional": "PBE", "state": "optimized geometry", "cell": [[4.8008, 0.0000, 0.0000], [0.0000, 4.8008, 0.0000], [0.0000, 0.0000, 6.6490]], "species": ["Sb", "Sb", "I", "F", "Tl"], "frac_coords": [[0.0000, 0.5000, 0.0000], [0.5000, 0.0000, 0.0000], [0.0000, 0.0000, 0.5000], [0.0000, 0.0000, 0.0000], [0.5000, 0.5000, 0.5000]], "m_tot_mub_per_cell": 0.00, "crystal_system": "tetragonal", "dos_ef_per_ev_atom": 0.624, "de_polymorph_mev_per_atom": 0.0}

=====

5.
{"formula": "TlSbI2F", "functional": "PBE", "state": "optimized geometry", "cell": [[-2.3340, 4.3092, -3.8570], [1.2116, -3.7026, -4.8699], [-3.8542, -1.7529, 0.3739]], "species": ["Tl", "I", "I", "F", "Sb"], "frac_coords": [[0.5000, 0.5000, 0.5000], [0.0000, 0.5000, 0.0000], [0.5000, 0.0000, 0.0000], [0.0000, 0.0000, 0.0000], [0.0000, 0.0000, 0.5000]], "m_tot_mub_per_cell": 0.00, "crystal_system": "tetragonal", "dos_ef_per_ev_atom": 0.192, "de_polymorph_mev_per_atom": 237.7}

=====

6.
{"formula": "TlSb2IF", "functional": "PBE", "state": "optimized geometry", "cell": [[-5.7071, -0.9778, 0.1774], [0.9868, -5.4538, 1.6855], [-0.1212, 1.7449, 5.7169]], "species": ["F", "Sb", "Sb", "Tl", "I"], "frac_coords": [[0.5000, 0.5000, 0.5000], [0.5000, 0.0000, 0.0000], [0.0000, 0.5000, 0.0000], [0.0000, 0.0000, 0.0000], [0.0000, 0.0000, 0.5000]], "m_tot_mub_per_cell": 1.24, "crystal_system": "tetragonal", "dos_ef_per_ev_atom": 1.231, "de_polymorph_mev_per_atom": 763.6}

=====

7.
{"formula": "TlSbI2F", "functional": "PBE", "state": "optimized geometry", "cell": [[-2.1964, -2.9048, 4.7644], [4.7426, -3.6697, -0.0510], [2.9175, 3.7203, 3.6133]], "species": ["F", "I", "I", "Sb", "Tl"], "frac_coords": [[0.5000, 0.5000, 0.5000], [0.5000, 0.0000, 0.0000], [0.0000, 0.5000, 0.0000], [0.0000, 0.0000, 0.5000], [0.0000, 0.0000, 0.0000]], "m_tot_mub_per_cell": 0.73, "crystal_system": "tetragonal", "dos_ef_per_ev_atom": 2.219, "de_polymorph_mev_per_atom": 1062.9}